The following is a PBE calculation of an optimized crystal structure of BaZnPt2, from Alexandria.

Cell: 4.519 4.519 6.146 Å, 68.84 68.84 59.94°
Fractional coordinates of all 4 atoms:
Pt 0.761 0.761 0.717
Zn 0.436 0.436 0.693
Pt 0.058 0.058 0.829
Ba 0.245 0.245 0.261

Results
formation enthalpy at 0 K = -0.58 eV per atom
calculated total energy = -17.60 eV for the cell shown
total magnetic moment = 0.00 μB per formula unit